[1]
The following is a meta-GGA SCAN calculation of Li2ZrAu at its PBEsol-relaxed geometry, from Alexandria via LeMat-Bulk.

Energy of formation from the pure elements (eV/atom): -0.1199
Symmetry: R-3m, No. 166
Spin magnetization (μB per formula unit): 0.0
Excess energy over the best structure of this formula in the dataset (eV/f.u.): 0.541

Unit cell a=2.912 b=2.912 c=9.763 alpha=81.42 beta=81.42 gamma=60.00
Fractional positions:
Au: 0.500 0.500 0.500
Li: 0.760 0.760 0.719
Li: 0.240 0.240 0.281
Zr: 0.000 0.000 0.000

***

[2]
The following is a meta-GGA SCAN calculation of LiZrAu2 at its PBEsol-relaxed geometry, from Alexandria via LeMat-Bulk.

Energy of formation from the pure elements (eV/atom): -0.6240
Symmetry: I-4m2, No. 119
Spin magnetization (μB per formula unit): 0.0
Excess energy over the best structure of this formula in the dataset (eV/f.u.): 0.427

Unit cell a=4.122 b=4.122 c=4.923 alpha=114.75 beta=114.75 gamma=90.00
Fractional positions:
Li: 0.500 0.500 0.000
Zr: 0.250 0.750 0.500
Au: 0.750 0.250 0.500
Au: 0.000 0.000 0.000

***

[3]
The following is a meta-GGA SCAN calculation of LiZrAu2 at its PBEsol-relaxed geometry, from Alexandria via LeMat-Bulk.

Energy of formation from the pure elements (eV/atom): -0.6664
Symmetry: Pmm2, No. 25
Spin magnetization (μB per formula unit): 0.0
Excess energy over the best structure of this formula in the dataset (eV/f.u.): 0.257

Unit cell a=2.863 b=4.864 c=5.030 alpha=90.00 beta=90.00 gamma=90.00
Fractional positions:
Au: 0.000 0.000 0.061
Au: 0.000 0.500 0.673
Zr: 0.500 0.500 0.175
Li: 0.500 0.000 0.590

***

[4]
The following is a meta-GGA SCAN calculation of LiZrAu2 at its PBEsol-relaxed geometry, from Alexandria via LeMat-Bulk.

Energy of formation from the pure elements (eV/atom): -0.6121
Symmetry: Cm, No. 8
Spin magnetization (μB per formula unit): 0.0
Excess energy over the best structure of this formula in the dataset (eV/f.u.): 0.474

Unit cell a=3.115 b=4.801 c=5.056 alpha=99.86 beta=107.94 gamma=90.00
Fractional positions:
Li: 0.511 0.558 0.023
Zr: 0.738 0.208 0.475
Au: 0.996 0.025 0.992
Au: 0.255 0.709 0.510

***

[5]
The following is a meta-GGA SCAN calculation of LuAu2 at its PBEsol-relaxed geometry, from Alexandria via LeMat-Bulk.

Energy of formation from the pure elements (eV/atom): -1.1044
Symmetry: I4/mmm, No. 139
Spin magnetization (μB per formula unit): 0.0

Unit cell a=3.608 b=3.608 c=5.088 alpha=110.77 beta=110.77 gamma=90.00
Fractional positions:
Au: 0.665 0.665 0.330
Au: 0.335 0.335 0.670
Lu: 0.000 0.000 0.000

***

[6]
The following is a meta-GGA SCAN calculation of Lu2Au at its PBEsol-relaxed geometry, from Alexandria via LeMat-Bulk.

Energy of formation from the pure elements (eV/atom): -0.9263
Symmetry: Pnma, No. 62
Spin magnetization (μB per formula unit): 0.0

Unit cell a=4.770 b=6.849 c=8.599 alpha=90.00 beta=90.00 gamma=90.00
Fractional positions:
Au: 0.250 0.758 0.901
Au: 0.250 0.258 0.599
Au: 0.750 0.742 0.401
Au: 0.750 0.242 0.099
Lu: 0.250 0.350 0.922
Lu: 0.750 0.150 0.422
Lu: 0.250 0.850 0.578
Lu: 0.750 0.015 0.822
Lu: 0.750 0.515 0.678
Lu: 0.250 0.985 0.178
Lu: 0.250 0.485 0.322
Lu: 0.750 0.650 0.078

***

[7]
The following is a meta-GGA SCAN calculation of LuAu3 at its PBEsol-relaxed geometry, from Alexandria via LeMat-Bulk.

Energy of formation from the pure elements (eV/atom): -0.8780
Symmetry: Pmmn, No. 59
Spin magnetization (μB per formula unit): 0.0

Unit cell a=4.900 b=5.031 c=5.944 alpha=90.00 beta=90.00 gamma=90.00
Fractional positions:
Au: 0.000 0.838 0.745
Au: 0.000 0.336 0.500
Au: 0.500 0.162 0.755
Au: 0.000 0.838 0.255
Au: 0.500 0.664 0.000
Au: 0.500 0.162 0.245
Lu: 0.000 0.344 0.000
Lu: 0.500 0.656 0.500

***

[8]
The following is a meta-GGA SCAN calculation of Lu2RuAu at its PBEsol-relaxed geometry, from Alexandria via LeMat-Bulk.

Energy of formation from the pure elements (eV/atom): -0.8584
Symmetry: Fm-3m, No. 225
Spin magnetization (μB per formula unit): 0.0

Unit cell a=4.762 b=4.762 c=4.762 alpha=60.00 beta=60.00 gamma=60.00
Fractional positions:
Ru: 0.500 0.500 0.500
Lu: 0.750 0.750 0.750
Lu: 0.250 0.250 0.250
Au: 0.000 0.000 0.000

***

[9]
The following is a meta-GGA SCAN calculation of Lu2SnAu2 at its PBEsol-relaxed geometry, from Alexandria via LeMat-Bulk.

Energy of formation from the pure elements (eV/atom): -1.0625
Symmetry: P4/mbm, No. 127
Spin magnetization (μB per formula unit): 0.0

Unit cell a=3.660 b=7.653 c=7.653 alpha=90.00 beta=90.00 gamma=90.00
Fractional positions:
Au: 0.000 0.629 0.871
Au: 0.000 0.871 0.371
Au: 0.000 0.129 0.629
Au: 0.000 0.371 0.129
Sn: 0.000 0.500 0.500
Sn: 0.000 0.000 0.000
Lu: 0.500 0.168 0.332
Lu: 0.500 0.332 0.832
Lu: 0.500 0.668 0.168
Lu: 0.500 0.832 0.668

***

[10]
The following is a meta-GGA SCAN calculation of Lu5Te2Au2 at its PBEsol-relaxed geometry, from Alexandria via LeMat-Bulk.

E_form (uncorrected) (eV/atom): -1.18
Symmetry: Cmce, No. 64
Spin magnetization (μB per formula unit): 0.0

Unit cell a=7.687 b=7.708 c=8.391 alpha=117.34 beta=90.00 gamma=90.00
Fractional positions:
Te: 0.000 0.792 0.584
Te: 0.500 0.708 0.416
Te: 0.000 0.208 0.416
Te: 0.500 0.292 0.584
Lu: 0.661 0.960 0.244
Lu: 0.661 0.716 0.756
Lu: 0.000 0.000 0.000
Lu: 0.339 0.284 0.244
Lu: 0.161 0.784 0.244
Lu: 0.339 0.040 0.756
Lu: 0.500 0.500 0.000
Lu: 0.161 0.540 0.756
Lu: 0.839 0.460 0.244
Lu: 0.839 0.216 0.756
Au: 0.134 0.364 0.000
Au: 0.366 0.864 0.000
Au: 0.634 0.136 0.000
Au: 0.866 0.636 0.000

***

[11]
The following is a meta-GGA SCAN calculation of TmLuAu2 at its PBEsol-relaxed geometry, from Alexandria via LeMat-Bulk.

Energy of formation from the pure elements (eV/atom): -1.1421
Symmetry: Fm-3m, No. 225
Spin magnetization (μB per formula unit): 0.0

Unit cell a=4.921 b=4.921 c=4.921 alpha=60.00 beta=60.00 gamma=60.00
Fractional positions:
Au: 0.750 0.750 0.750
Au: 0.250 0.250 0.250
Tm: 0.000 0.000 0.000
Lu: 0.500 0.500 0.500

***

[12]
The following is a meta-GGA SCAN calculation of Lu2ZnAu at its PBEsol-relaxed geometry, from Alexandria via LeMat-Bulk.

Energy of formation from the pure elements (eV/atom): -0.8171
Symmetry: Fm-3m, No. 225
Spin magnetization (μB per formula unit): 0.0

Unit cell a=4.879 b=4.879 c=4.879 alpha=60.00 beta=60.00 gamma=60.00
Fractional positions:
Zn: 0.000 0.000 0.000
Lu: 0.750 0.750 0.750
Lu: 0.250 0.250 0.250
Au: 0.500 0.500 0.500